Material: Sc2BiSb
Method: DFT, PBE-GGA
State: relaxed

Summary:
**M_tot**: 0.00 μB/atom
**Calculated density**: 7.0 g/cm³
**Space group**: Fm-3m (225)
**Energy above the most stable polymorph in this dataset**: 0.3002 eV/atom

a = 5.195 Å, b = 5.195 Å, c = 5.195 Å
α = 60.00°, β = 60.00°, γ = 60.00°
Fractional coordinates of all 4 atoms:
Sc (0.250, 0.250, 0.250)
Sc (0.750, 0.750, 0.750)
Bi (0.000, 0.000, 0.000)
Sb (0.500, 0.500, 0.500)